Entry from Alexandria via LeMat-Bulk: an optimized crystal structure of TiBe2Ni2 (GGA-PBEsol).

Its crystal system is tetragonal. The density comes out at 5.96 g/cm³. For the raw total energy, the calculation gives -6.102 eV/atom.

The space group is P4/mbm (No. 127) and the conventional cell measures 6.4376, 6.4376 and 2.4651 Å, with angles of 90.00, 90.00 and 90.00 degrees. The inequivalent atoms are Ti at (0.0000, 0.0000, 0.0000), Be at (0.1182, 0.3818, 0.0000) and Ni at (0.1751, 0.6751, 0.5000).